TbCe2Se5: optimized geometry, PBE-GGA.

The structure in POSCAR format:
```
TbCe2Se5
1.0
-6.402 0.286 -4.421
3.929 -4.480 -5.980
-4.067 -10.518 5.208
Se Ce Tb
20 8 4
direct
0.326 0.750 0.315
0.674 0.250 0.685
0.826 0.250 0.185
0.337 0.543 0.602
0.535 0.750 0.998
0.798 0.750 0.214
0.702 0.750 0.714
0.202 0.250 0.786
0.163 0.543 0.102
0.163 0.957 0.102
0.035 0.250 0.502
0.965 0.750 0.498
0.298 0.250 0.286
0.837 0.457 0.898
0.465 0.250 0.002
0.337 0.957 0.602
0.837 0.043 0.898
0.663 0.457 0.398
0.663 0.043 0.398
0.174 0.750 0.815
0.015 0.499 0.320
0.515 0.999 0.180
0.485 0.001 0.820
0.485 0.499 0.820
0.515 0.501 0.180
0.985 0.999 0.680
0.985 0.501 0.680
0.015 0.001 0.320
0.921 0.750 0.992
0.079 0.250 0.008
0.579 0.750 0.492
0.421 0.250 0.508
```

Summary:
- DFT total energy: -6.014 eV/atom
- SG: Pnma, No. 62
- Volume: 816.4 Å³ per cell
- ρ: 6.78 g/cm³
- Energy relative to the elements, uncorrected: -1.77 eV per atom